Entry 1:
VASP calculation (PBE) on a relaxed YTePt2 crystal.

a b c (Å): 5.394 5.394 5.394
angles (deg): 50.56 50.56 50.56
Atoms (fractional coordinates):
1 Pt 0.973 0.973 0.973
2 Pt 0.527 0.527 0.527
3 Y 0.750 0.750 0.750
4 Te 0.250 0.250 0.250

## Properties
Energy relative to the lowest polymorph listed for this composition: 86 meV per atom



Entry 2:
VASP calculation (PBE) on a relaxed RbPuGaSe4 crystal.

a b c (Å): 6.955 6.485 9.670
angles (deg): 90.00 107.87 90.00
Last column: magnetic moment on the atom in μB.
Atoms (fractional coordinates):
1 Se 0.561 0.250 0.416  -0.12
2 Se 0.019 0.517 0.704  -0.11
3 Se 0.981 0.017 0.296  -0.11
4 Se 0.981 0.483 0.296  -0.11
5 Se 0.439 0.750 0.584  -0.12
6 Se 0.562 0.250 0.828  -0.09
7 Se 0.438 0.750 0.172  -0.09
8 Se 0.019 0.983 0.704  -0.11
9 Rb 0.747 0.750 0.945  0.00
10 Rb 0.253 0.250 0.055  0.00
11 Ga 0.762 0.250 0.668  0.00
12 Ga 0.238 0.750 0.332  0.00
13 Pu 0.243 0.250 0.554  4.93
14 Pu 0.757 0.750 0.446  4.93

## Properties
Uncorrected energy: -5.629 eV/atom



Entry 3:
VASP calculation (PBE) on a relaxed ScTa2Au crystal.

a b c (Å): 2.976 2.976 8.579
angles (deg): 90.00 90.00 90.09
Atoms (fractional coordinates):
1 Ta 0.000 0.000 0.009
2 Ta 0.000 0.000 0.491
3 Au 0.500 0.500 0.250
4 Sc 0.500 0.500 0.750

## Properties
ΔH_f (0 K): 0.07 eV/atom
Energy relative to the lowest polymorph listed for this composition: 190 meV per atom



Entry 4:
VASP calculation (PBE) on a relaxed Ho2CdRh3 crystal.

a b c (Å): 4.721 4.721 11.586
angles (deg): 90.00 90.00 120.00
Atoms (fractional coordinates):
1 Rh 0.333 0.667 0.917
2 Rh 0.000 0.000 0.248
3 Rh 0.333 0.667 0.421
4 Rh 0.667 0.333 0.083
5 Rh 0.667 0.333 0.579
6 Rh 0.000 0.000 0.752
7 Cd 0.333 0.667 0.666
8 Cd 0.667 0.333 0.334
9 Ho 0.667 0.333 0.820
10 Ho 0.000 0.000 0.000
11 Ho 0.333 0.667 0.180
12 Ho 0.000 0.000 0.500

## Properties
ΔH_f (0 K): -0.72 eV/atom
Energy relative to the lowest polymorph listed for this composition: 0 meV per atom



Entry 5:
VASP calculation (PBE) on a relaxed TlCoBr4 crystal.

a b c (Å): 6.448 6.448 6.448
angles (deg): 60.00 60.00 60.00
Last column: magnetic moment on the atom in μB.
Atoms (fractional coordinates):
1 Co 0.750 0.750 0.750  2.14
2 Br 0.376 0.376 0.872  0.33
3 Br 0.872 0.376 0.376  0.33
4 Br 0.376 0.872 0.376  0.33
5 Br 0.376 0.376 0.376  0.33
6 Tl 0.000 0.000 0.000  0.00

## Properties
Uncorrected energy: -2.003 eV/atom



Entry 6:
VASP calculation (PBE) on a relaxed NpNiSnAu crystal.

a b c (Å): 4.832 4.832 4.832
angles (deg): 60.00 60.00 60.00
Last column: magnetic moment on the atom in μB.
Atoms (fractional coordinates):
1 Ni 0.500 0.500 0.500  -0.32
2 Np 0.750 0.750 0.750  3.67
3 Au 0.000 0.000 0.000  -0.01
4 Sn 0.250 0.250 0.250  -0.02

## Properties
ΔH_f (0 K): -0.07 eV/atom



Entry 7:
VASP calculation (PBE) on a relaxed SrPm2PdO5 crystal.

a b c (Å): 5.900 6.697 6.697
angles (deg): 90.00 90.00 90.00
Atoms (fractional coordinates):
1 O 0.249 0.644 0.856
2 O 0.500 0.500 0.500
3 O 0.751 0.144 0.644
4 O 0.249 0.856 0.356
5 O 0.249 0.356 0.144
6 O 0.249 0.144 0.644
7 O 0.751 0.644 0.856
8 O 0.751 0.856 0.356
9 O 0.751 0.356 0.144
10 O 0.500 0.000 0.000
11 Pm 0.500 0.173 0.327
12 Pm 0.500 0.327 0.827
13 Pm 0.500 0.673 0.173
14 Pm 0.500 0.827 0.673
15 Pd 0.000 0.000 0.500
16 Pd 0.000 0.500 0.000
17 Sr 0.000 0.000 0.000
18 Sr 0.000 0.500 0.500

## Properties
Uncorrected energy: -7.164 eV/atom



Entry 8:
VASP calculation (PBE) on a relaxed HoTm2Ga3 crystal.

a b c (Å): 4.997 4.997 12.255
angles (deg): 90.00 90.00 120.00
Atoms (fractional coordinates):
1 Ga 0.667 0.333 0.083
2 Ga 0.000 0.000 0.751
3 Ga 0.333 0.667 0.416
4 Ga 0.667 0.333 0.584
5 Ga 0.000 0.000 0.249
6 Ga 0.333 0.667 0.917
7 Ho 0.667 0.333 0.333
8 Ho 0.333 0.667 0.667
9 Tm 0.000 0.000 0.000
10 Tm 0.667 0.333 0.834
11 Tm 0.000 0.000 0.500
12 Tm 0.333 0.667 0.166

## Properties
ΔH_f (0 K): -0.57 eV/atom
Energy relative to the lowest polymorph listed for this composition: 0 meV per atom



no.,D(E_F) (states/eV per cell),calculated volume (A^3/atom)
1,2.914,21.56
2,20.190,29.65
3,2.716,19.00
4,3.249,18.63
5,13.113,31.60
6,11.267,19.95
7,0.000,14.70
8,5.397,22.08